A plane-wave DFT calculation with PBE was carried out for a relaxed structure of Ho6Tm3Zr.

Cell and atoms, written as extended XYZ:
```
20
Lattice="5.410 -9.310 0.000 5.410 9.310 0.000 0.000 0.000 6.057" Properties=species:S:1:pos:R:3 pbc="T T T"
Ho 2.745 3.866 0.292
Ho 5.410 8.356 3.029
Ho 5.410 4.215 4.666
Ho 3.655 0.800 5.372
Ho 3.655 -0.800 2.343
Ho 2.745 -3.866 3.321
Ho 8.074 3.866 0.292
Ho 7.165 0.800 5.372
Ho 7.165 -0.800 2.343
Ho 5.410 -4.215 1.637
Ho 5.410 -8.356 0.000
Ho 8.074 -3.866 3.321
Tm 1.822 2.087 2.903
Tm 1.822 -2.087 5.932
Tm 5.410 2.133 2.143
Tm 5.410 -2.133 5.171
Tm 8.997 2.087 2.903
Tm 8.997 -2.087 5.932
Zr 5.410 5.429 1.629
Zr 5.410 -5.429 4.657
```

Values from the calculation:
Its symmetry is No. 36. The calculation puts the total magnetization at 0.0 μB/cell. The formation energy comes out at 149 meV per atom. For the excess energy over the best structure of this formula in the dataset, the calculation gives 0.0 meV per atom.



A plane-wave DFT calculation with PBE was carried out for a relaxed structure of LaPt2Br.

Cell and atoms, written as extended XYZ:
```
4
Lattice="2.192 1.266 7.180 -2.192 1.266 7.180 0.000 -2.531 7.180" Properties=species:S:1:pos:R:3 pbc="T T T"
La 0.000 0.000 0.000
Pt 0.000 0.000 5.381
Pt 0.000 0.000 12.514
Br 0.000 0.000 16.245
```

Values from the calculation:
Its symmetry is No. 160. The calculation puts the total magnetization at 0.0 μB/cell. For the excess energy over the best structure of this formula in the dataset, the calculation gives 0.0 meV per atom. The value obtained for the raw formation energy is -0.987 eV per atom.